Compound: CsCoIO2
Source: Alexandria
Functional: PBE with a Hubbard U
Structure: relaxed

Summary:
space group	P4/mmm, No. 123
calculated total energy	-17.810	eV per cell

Cell lengths 4.680, 4.680, 5.480 Å; angles 90.00, 90.00, 90.00 degrees
Fractional positions:
Cs: 0.500 0.500 0.500
I: 0.000 0.000 0.500
Co: 0.000 0.000 0.000
O: 0.000 0.500 0.000
O: 0.500 0.000 0.000